Entry 1:
Density functional theory data (PBE-GGA) for TiGaCu2 after structural relaxation.

energy of formation: 15.4 kJ/mol of atoms
density of states at the Fermi level: 3.5 states/eV/f.u.
total energy: -4.619 eV per atom

a b c (Å): 5.745 5.745 5.745
angles (deg): 154.12 132.31 55.05
Fractional positions:
Ti  0.000  0.000  0.000
Ga  0.500  0.500  0.000
Cu  0.255  0.255  0.000
Cu  0.745  0.745  0.000

***

Entry 2:
Density functional theory data (PBE-GGA) for HfVFe2As after structural relaxation.

energy of formation: 84.9 kJ/mol of atoms
density of states at the Fermi level: 7.4 states/eV/f.u.
total energy: -7.250 eV per atom

a b c (Å): 4.223 4.223 4.887
angles (deg): 90.00 90.00 90.00
Fractional positions:
Hf  0.000  0.000  0.000
V  0.500  0.500  0.000
Fe  0.000  0.500  0.500
Fe  0.500  0.000  0.500
As  0.000  0.000  0.500

***

Entry 3:
Density functional theory data (PBE-GGA) for Nd4AgTe2Se after structural relaxation.

density of states at the Fermi level: 5.7 states/eV/f.u.
total energy: -5.180 eV per atom

a b c (Å): 7.669 4.325 7.681
angles (deg): 90.00 108.81 90.00
Fractional positions:
Nd  0.232  0.000  0.237
Nd  0.236  0.500  0.748
Nd  0.764  0.500  0.252
Nd  0.768  0.000  0.763
Ag  0.000  0.000  0.500
Te  0.500  0.000  0.000
Te  0.500  0.500  0.500
Se  0.000  0.500  0.000

***

Entry 4:
Density functional theory data (PBE-GGA) for ThZnSb after structural relaxation.

density of states at the Fermi level: 2.8 states/eV/f.u.
total energy: -4.707 eV per atom

a b c (Å): 4.642 4.642 4.037
angles (deg): 90.00 90.00 120.00
Fractional positions:
Th  0.000  0.000  0.000
Zn  0.667  0.333  0.414
Sb  0.333  0.667  0.517

***

Entry 5:
Density functional theory data (PBE-GGA) for Cs5K4Rb2 after structural relaxation.

energy of formation: 2.1 kJ/mol of atoms
density of states at the Fermi level: 10.6 states/eV/f.u.
distance to the lowest polymorph of the same formula: 15 meV per atom
total energy: -0.941 eV per atom

a b c (Å): 17.736 17.736 12.094
angles (deg): 95.37 95.37 16.06
Fractional positions:
Cs  0.000  0.000  0.000
Cs  0.318  0.318  0.531
Cs  0.364  0.364  0.942
Cs  0.636  0.636  0.058
Cs  0.682  0.682  0.469
K  0.226  0.226  0.831
K  0.460  0.460  0.646
K  0.540  0.540  0.354
K  0.774  0.774  0.169
Rb  0.084  0.084  0.689
Rb  0.916  0.916  0.311

***

Entry 6:
Density functional theory data (PBE-GGA) for La2TcRh2 after structural relaxation.

energy of formation: -21.8 kJ/mol of atoms
density of states at the Fermi level: 3.8 states/eV/f.u.
total energy: -7.211 eV per atom

a b c (Å): 7.101 7.101 4.375
angles (deg): 90.00 90.00 90.00
Fractional positions:
La  0.179  0.321  0.000
La  0.321  0.821  0.000
La  0.679  0.179  0.000
La  0.821  0.679  0.000
Tc  0.000  0.000  0.500
Tc  0.500  0.500  0.500
Rh  0.138  0.638  0.500
Rh  0.362  0.138  0.500
Rh  0.638  0.862  0.500
Rh  0.862  0.362  0.500

***

Entry 7:
Density functional theory data (PBE-GGA) for La2TbIn after structural relaxation.

energy of formation: -10.5 kJ/mol of atoms
density of states at the Fermi level: 6.7 states/eV/f.u.
distance to the lowest polymorph of the same formula: 169 meV per atom
total energy: -4.415 eV per atom

a b c (Å): 11.472 11.472 11.472
angles (deg): 18.61 18.61 18.61
Fractional positions:
La  0.000  0.000  0.000
La  0.175  0.175  0.175
Tb  0.421  0.421  0.421
In  0.587  0.587  0.587

***

Entry 8:
Density functional theory data (PBE-GGA) for Cd4Pd2Au5 after structural relaxation.

energy of formation: -8.3 kJ/mol of atoms
density of states at the Fermi level: 3.3 states/eV/f.u.
total energy: -2.853 eV per atom

a b c (Å): 10.671 10.671 10.671
angles (deg): 164.33 138.36 44.75
Fractional positions:
Cd  0.192  0.500  0.692
Cd  0.233  0.233  0.000
Cd  0.767  0.767  0.000
Cd  0.808  0.500  0.308
Pd  0.098  0.098  0.000
Pd  0.902  0.902  0.000
Au  0.161  0.354  0.807
Au  0.453  0.646  0.807
Au  0.500  0.000  0.500
Au  0.547  0.354  0.193
Au  0.839  0.646  0.193

***

Entry 9:
Density functional theory data (PBE-GGA) for MgSb2Au2 after structural relaxation.

density of states at the Fermi level: 2.5 states/eV/f.u.
distance to the lowest polymorph of the same formula: 0 meV per atom
total energy: -3.401 eV per atom

a b c (Å): 7.409 7.409 4.138
angles (deg): 90.00 90.00 90.00
Fractional positions:
Mg  0.000  0.000  0.000
Mg  0.500  0.500  0.000
Sb  0.175  0.325  0.500
Sb  0.325  0.825  0.500
Sb  0.675  0.175  0.500
Sb  0.825  0.675  0.500
Au  0.137  0.637  0.000
Au  0.363  0.137  0.000
Au  0.637  0.863  0.000
Au  0.863  0.363  0.000

***

Entry 10:
Density functional theory data (PBE-GGA) for NpSbAu after structural relaxation.

density of states at the Fermi level: 5.0 states/eV/f.u.
total energy: -6.878 eV per atom

a b c (Å): 6.782 6.782 6.782
angles (deg): 138.56 65.74 131.40
Fractional positions:
Np  0.000  0.000  0.000
Np  0.743  0.243  0.500
Sb  0.063  0.720  0.343
Sb  0.378  0.720  0.657
Au  0.384  0.511  0.873
Au  0.638  0.511  0.127

***

Entry 11:
Density functional theory data (PBE-GGA) for YSc2Mn after structural relaxation.

energy of formation: 11.3 kJ/mol of atoms
density of states at the Fermi level: 8.6 states/eV/f.u.
distance to the lowest polymorph of the same formula: 31 meV per atom
total energy: -6.957 eV per atom

a b c (Å): 6.076 6.076 6.076
angles (deg): 147.20 130.11 61.00
Fractional positions:
Y  0.000  0.000  0.000
Sc  0.289  0.789  0.500
Sc  0.711  0.211  0.500
Mn  0.500  0.500  0.000

***

Entry 12:
Density functional theory data (PBE-GGA) for LaPm10Ho6 after structural relaxation.

energy of formation: 12.9 kJ/mol of atoms
density of states at the Fermi level: 26.0 states/eV/f.u.
total energy: -4.566 eV per atom

a b c (Å): 9.837 9.837 6.902
angles (deg): 90.00 90.00 120.00
Fractional positions:
La  0.000  0.000  0.000
Pm  0.000  0.278  0.320
Pm  0.000  0.722  0.680
Pm  0.278  0.000  0.320
Pm  0.278  0.278  0.680
Pm  0.333  0.667  0.000
Pm  0.333  0.667  0.500
Pm  0.667  0.333  0.000
Pm  0.667  0.333  0.500
Pm  0.722  0.000  0.680
Pm  0.722  0.722  0.320
Ho  0.000  0.372  0.809
Ho  0.000  0.628  0.191
Ho  0.372  0.000  0.809
Ho  0.372  0.372  0.191
Ho  0.628  0.000  0.191
Ho  0.628  0.628  0.809

***

Magnetization: 0.000 0.000 0.000 0.000 0.000 1.254 0.030 0.000 0.000 4.007 1.928 0.000 (μB/f.u.)